(1)
Entry from Alexandria: TeMo2Os after structural relaxation (PBE).

CIF file:
```
data_TeMo2Os
_space_group_name_H-M_alt 'P m m m'
_space_group_IT_number 47
_space_group_name_Hall '-P 2 2'
_cell_length_a 3.005
_cell_length_b 4.153
_cell_length_c 5.438
_cell_angle_alpha 90.00
_cell_angle_beta 90.00
_cell_angle_gamma 90.00
loop_
_atom_site_label
_atom_site_fract_x
_atom_site_fract_y
_atom_site_fract_z
Te1 0.000 0.000 0.000
Mo1 0.500 0.500 0.272
Os1 0.000 0.000 0.500
```

## Properties
formation energy (no corrections) = 0.47 eV per atom
E_tot = -34.2 eV per cell
total magnetization = 0.00 μB/f.u.

(2)
Entry from Alexandria: TeMoOs after structural relaxation (PBE).

CIF file:
```
data_TeMoOs
_space_group_name_H-M_alt 'F -4 3 m'
_space_group_IT_number 216
_space_group_name_Hall 'F -4 2 3'
_cell_length_a 6.192
_cell_length_b 6.192
_cell_length_c 6.192
_cell_angle_alpha 90.00
_cell_angle_beta 90.00
_cell_angle_gamma 90.00
loop_
_atom_site_label
_atom_site_fract_x
_atom_site_fract_y
_atom_site_fract_z
Te1 0.000 0.000 0.000
Mo1 0.000 0.000 0.500
Os1 0.250 0.250 0.250
```

## Properties
formation energy (no corrections) = 0.47 eV per atom
polymorph energy (0 for the lowest one) = 40 meV/atom
E_tot = -95.2 eV per cell
total magnetization = 0.50 μB/f.u.

(3)
Entry from Alexandria: TeMo2Os after structural relaxation (PBE).

CIF file:
```
data_TeMo2Os
_space_group_name_H-M_alt 'I 4/m m m'
_space_group_IT_number 139
_space_group_name_Hall '-I 4 2'
_cell_length_a 3.902
_cell_length_b 3.902
_cell_length_c 8.650
_cell_angle_alpha 90.00
_cell_angle_beta 90.00
_cell_angle_gamma 90.00
loop_
_atom_site_label
_atom_site_fract_x
_atom_site_fract_y
_atom_site_fract_z
Te1 0.000 0.000 0.000
Mo1 0.000 0.500 0.250
Os1 0.000 0.000 0.500
```

## Properties
formation energy (no corrections) = 0.51 eV per atom
E_tot = -68.0 eV per cell
total magnetization = 0.00 μB/f.u.

(4)
Entry from Alexandria: Te2MoOs after structural relaxation (PBE).

CIF file:
```
data_Te2MoOs
_space_group_name_H-M_alt 'P 4/m m m'
_space_group_IT_number 123
_space_group_name_Hall '-P 4 2'
_cell_length_a 4.703
_cell_length_b 4.703
_cell_length_c 3.320
_cell_angle_alpha 90.00
_cell_angle_beta 90.00
_cell_angle_gamma 90.00
loop_
_atom_site_label
_atom_site_fract_x
_atom_site_fract_y
_atom_site_fract_z
Te1 0.000 0.500 0.000
Mo1 0.000 0.000 0.500
Os1 0.500 0.500 0.500
```

## Properties
formation energy (no corrections) = 0.58 eV per atom
polymorph energy (0 for the lowest one) = 320 meV/atom
E_tot = -26.0 eV per cell
total magnetization = 0.00 μB/f.u.

(5)
Entry from Alexandria: TeMo2Os after structural relaxation (PBE).

CIF file:
```
data_TeMo2Os
_space_group_name_H-M_alt 'P 4 m m'
_space_group_IT_number 99
_space_group_name_Hall 'P 4 -2'
_cell_length_a 3.188
_cell_length_b 3.188
_cell_length_c 6.732
_cell_angle_alpha 90.00
_cell_angle_beta 90.00
_cell_angle_gamma 90.00
loop_
_atom_site_label
_atom_site_fract_x
_atom_site_fract_y
_atom_site_fract_z
Te1 0.000 0.000 0.000
Mo1 0.000 0.000 0.492
Mo2 0.500 0.500 0.248
Os1 0.500 0.500 0.707
```

## Properties
formation energy (no corrections) = 0.40 eV per atom
E_tot = -34.5 eV per cell
total magnetization = 0.00 μB/f.u.

(6)
Entry from Alexandria: TeMo2Os after structural relaxation (PBE).

CIF file:
```
data_TeMo2Os
_space_group_name_H-M_alt 'F -4 3 m'
_space_group_IT_number 216
_space_group_name_Hall 'F -4 2 3'
_cell_length_a 6.446
_cell_length_b 6.446
_cell_length_c 6.446
_cell_angle_alpha 90.00
_cell_angle_beta 90.00
_cell_angle_gamma 90.00
loop_
_atom_site_label
_atom_site_fract_x
_atom_site_fract_y
_atom_site_fract_z
Te1 0.000 0.000 0.000
Mo1 0.000 0.000 0.500
Mo2 0.250 0.250 0.750
Os1 0.250 0.250 0.250
```

## Properties
formation energy (no corrections) = 0.59 eV per atom
E_tot = -134.6 eV per cell
total magnetization = 0.00 μB/f.u.